(1)
This record from the Alexandria database describes an optimized crystal structure of LiInPd. The functional is GGA-PBE.

a = 4.4172 Å, b = 4.4172 Å, c = 2.9340 Å
α = 90.00°, β = 90.00°, γ = 120.00°
Closest atoms and distances in Å follow each position.
Fractional coordinates of all 3 atoms:
Li  0.0000  0.0000  0.0000  3 Pd 2.57, 3 In 2.84
In  0.6667  0.3333  0.4266  6 Li 2.84-3.06, 6 Pd 2.88-3.00, 2 In 2.93
Pd  0.3333  0.6667  0.8851  3 Li 2.57

Values from the calculation:
space group: P3m1 (156)
raw total energy: -3.761 eV per atom
energy of formation: -0.479 eV per atom



(2)
This record from the Alexandria database describes an optimized crystal structure of LiIn4Pd5. The functional is GGA-PBE.

a = 3.3020 Å, b = 3.3020 Å, c = 15.7491 Å
α = 90.00°, β = 90.00°, γ = 90.00°
Closest atoms and distances in Å follow each position.
Fractional coordinates of all 10 atoms:
Li  0.0000  0.0000  0.0000  8 Pd 2.74, 2 In 2.95
In  0.0000  0.0000  0.1872  8 Pd 2.79-2.86, 1 Li 2.95
In  0.0000  0.0000  0.3959  8 Pd 2.85
In  0.0000  0.0000  0.6041  8 Pd 2.85
In  0.0000  0.0000  0.8128  8 Pd 2.79-2.86, 1 Li 2.95
Pd  0.5000  0.5000  0.0908  4 Li 2.74, 4 In 2.79, 1 Pd 2.86
Pd  0.5000  0.5000  0.2917  8 In 2.85-2.86, 1 Pd 3.16
Pd  0.5000  0.5000  0.5000  8 In 2.85
Pd  0.5000  0.5000  0.7083  8 In 2.85-2.86, 1 Pd 3.16
Pd  0.5000  0.5000  0.9092  4 Li 2.74, 4 In 2.79, 1 Pd 2.86

Values from the calculation:
space group: P4/mmm (123)
raw total energy: -4.383 eV per atom
energy of formation: -0.500 eV per atom



(3)
This record from the Alexandria database describes an optimized crystal structure of Li6InPd5. The functional is GGA-PBE.

a = 4.3818 Å, b = 5.8899 Å, c = 6.7227 Å
α = 90.00°, β = 103.15°, γ = 90.00°
Closest atoms and distances in Å follow each position.
Fractional coordinates of all 12 atoms:
Li  0.0000  0.2265  0.0000  6 Pd 2.53-2.64, 1 Li 2.67, 2 In 2.72
Li  0.0000  0.7735  0.0000  6 Pd 2.53-2.64, 1 Li 2.67, 2 In 2.72
Li  0.3266  0.2412  0.6474  7 Pd 2.54-2.72, 2 Li 2.76-2.84, 1 In 2.77
Li  0.3266  0.7588  0.6474  7 Pd 2.54-2.72, 2 Li 2.76-2.84, 1 In 2.77
Li  0.6734  0.2412  0.3525  7 Pd 2.54-2.72, 2 Li 2.76-2.84, 1 In 2.77
Li  0.6734  0.7588  0.3525  7 Pd 2.54-2.72, 2 Li 2.76-2.84, 1 In 2.77
In  0.5000  0.5000  0.0000  8 Li 2.72-2.77, 4 Pd 2.88-2.94
Pd  0.1555  0.5000  0.3173  8 Li 2.64-2.70, 1 In 2.88, 2 Pd 2.95
Pd  0.1615  0.0000  0.3273  8 Li 2.53-2.63
Pd  0.5000  0.0000  0.0000  8 Li 2.57-2.72
Pd  0.8385  0.0000  0.6727  8 Li 2.53-2.63
Pd  0.8445  0.5000  0.6827  8 Li 2.64-2.70, 1 In 2.88, 2 Pd 2.95

Values from the calculation:
space group: P2/m (10)
raw total energy: -3.784 eV per atom
energy of formation: -0.435 eV per atom



(4)
This record from the Alexandria database describes an optimized crystal structure of Li2In8Pd. The functional is GGA-PBE.

a = 4.6229 Å, b = 4.6229 Å, c = 12.0594 Å
α = 90.00°, β = 90.00°, γ = 90.00°
Closest atoms and distances in Å follow each position.
Fractional coordinates of all 11 atoms:
Li  0.0000  0.0000  0.1870  12 In 3.19-3.27
Li  0.0000  0.0000  0.8130  12 In 3.19-3.27
In  0.0000  0.5000  0.0000  4 Li 3.23, 8 In 3.23-3.27
In  0.0000  0.5000  0.3693  2 Pd 2.80
In  0.0000  0.5000  0.6307  2 Pd 2.80
In  0.5000  0.0000  0.0000  4 Li 3.23, 8 In 3.23-3.27
In  0.5000  0.0000  0.3693  2 Pd 2.80
In  0.5000  0.0000  0.6307  2 Pd 2.80
In  0.5000  0.5000  0.1871  8 In 3.19-3.23, 4 Li 3.27
In  0.5000  0.5000  0.8129  8 In 3.19-3.23, 4 Li 3.27
Pd  0.0000  0.0000  0.5000  8 In 2.80

Values from the calculation:
space group: P4/mmm (123)
raw total energy: -3.014 eV per atom
energy of formation: -0.202 eV per atom



Question: Among the records above, which one has the lowest raw total energy?
Answer: LiIn4Pd5